## KNa2C2O6 (PBE)

Data for crystalline KNa2C2O6 at its relaxed geometry.

## Properties
- V (Å³ per cell) = 168.6
- total energy (eV for the cell shown) = -69.34
- magnetization (Bohr magnetons per cell) = 1.0
- formation energy (no corrections) (eV per formula unit) = -17.4
- theoretical density (g/cm3) = 2.02

Geometry as CIF:
```
data_KNa2C2O6
_chemical_formula_sum 'K1 Na2 C2 O6'
_cell_length_a 5.537
_cell_length_b 5.992
_cell_length_c 6.062
_cell_angle_alpha 93.90
_cell_angle_beta 109.86
_cell_angle_gamma 113.46
_symmetry_space_group_name_H-M 'P -1'
_symmetry_Int_Tables_number 2
loop_
_symmetry_equiv_pos_as_xyz
'x,y,z'
'-x,-y,-z'
loop_
_atom_site_label
_atom_site_fract_x
_atom_site_fract_y
_atom_site_fract_z
K1 0.000 0.000 0.000
Na1 0.383 0.649 0.280
C1 0.295 0.738 0.748
O1 0.132 0.609 0.850
O2 0.297 0.946 0.706
O3 0.458 0.660 0.692
```